The following is a PBE-GGA calculation of a relaxed structure of Np2UPdS4, from Alexandria via LeMat-Bulk.

Properties
As for the calculated density: 10.3 Mg/m³. As for the space group: I-42m, No. 121. As for the uncorrected formation energy: -1058 meV per atom.

Unit cell a=6.705 b=5.835 c=5.835 alpha=70.72 beta=54.93 gamma=54.93
Site moments in Bohr magnetons follow the coordinates.
Fractional coordinates of all 8 atoms:
S1 0.502 0.000 0.420  -0.09
S2 0.498 0.580 0.000  -0.09
S3 0.922 0.000 0.580  -0.09
S4 0.078 0.420 0.000  -0.09
Np1 0.000 0.500 0.500  4.14
Np2 0.500 0.500 0.500  4.14
U1 0.000 0.000 0.000  2.74
Pd1 0.500 0.000 0.000  -0.12

***

The following is a PBE-GGA calculation of a relaxed structure of MoRu3, from Alexandria via LeMat-Bulk.

Properties
As for the calculated density: 11.5 Mg/m³. As for the space group: Pm-3m, No. 221. As for the distance to the lowest polymorph of the same formula: 65.7 meV/atom.

Unit cell a=3.859 b=3.859 c=3.859 alpha=90.00 beta=90.00 gamma=90.00
Fractional coordinates of all 4 atoms:
Ru1 0.500 0.000 0.500
Ru2 0.500 0.500 0.000
Ru3 0.000 0.500 0.500
Mo1 0.000 0.000 0.000

***

The following is a PBE-GGA calculation of a relaxed structure of TaNb2C, from Alexandria via LeMat-Bulk.

Properties
As for the calculated density: 9.8 Mg/m³. The calculation puts the total DFT energy (no corrections) at -0.3741 hartree per atom. As for the space group: I-42d, No. 122.

Unit cell a=7.521 b=7.521 c=5.781 alpha=49.43 beta=49.43 gamma=90.00
Fractional coordinates of all 8 atoms:
Ta1 0.750 0.250 0.500
Ta2 0.000 0.000 0.000
Nb1 0.375 0.489 0.750
Nb2 0.511 0.125 0.250
Nb3 0.875 0.761 0.750
Nb4 0.239 0.625 0.250
C1 0.250 0.750 0.500
C2 0.500 0.500 0.000

***

The following is a PBE-GGA calculation of a relaxed structure of Lu3MgS, from Alexandria via LeMat-Bulk.

Properties
As for the calculated density: 7.3 Mg/m³. As for the space group: Pm-3m, No. 221. As for the uncorrected formation energy: -625 meV per atom.

Unit cell a=5.092 b=5.092 c=5.092 alpha=90.00 beta=90.00 gamma=90.00
Fractional coordinates of all 5 atoms:
Lu1 0.000 0.000 0.500
Lu2 0.500 0.000 0.000
Lu3 0.000 0.500 0.000
S1 0.000 0.000 0.000
Mg1 0.500 0.500 0.500

***

The following is a PBE-GGA calculation of a relaxed structure of KY2Al, from Alexandria via LeMat-Bulk.

Properties
As for the calculated density: 3.3 Mg/m³. The calculation puts the total DFT energy (no corrections) at -0.1497 hartree per atom. As for the space group: Pmmm, No. 47.

Unit cell a=4.111 b=5.641 c=5.257 alpha=90.00 beta=90.00 gamma=90.00
Fractional coordinates of all 4 atoms:
K1 0.000 0.500 0.500
Y1 0.500 0.500 0.000
Y2 0.000 0.000 0.000
Al1 0.500 0.000 0.500

***

The following is a PBE-GGA calculation of a relaxed structure of Ca4TlCdAu2, from Alexandria via LeMat-Bulk.

Properties
As for the calculated density: 6.9 Mg/m³. The calculation puts the total DFT energy (no corrections) at -0.1026 hartree per atom. As for the space group: R-3m, No. 166.

Unit cell a=5.299 b=5.299 c=9.162 alpha=73.19 beta=73.19 gamma=60.00
Fractional coordinates of all 8 atoms:
Ca1 0.125 0.125 0.624
Ca2 0.375 0.375 0.874
Ca3 0.875 0.875 0.376
Ca4 0.625 0.625 0.126
Tl1 0.500 0.500 0.500
Cd1 0.000 0.000 0.000
Au1 0.253 0.253 0.242
Au2 0.747 0.747 0.758

***

The following is a PBE-GGA calculation of a relaxed structure of Tl2Re3, from Alexandria via LeMat-Bulk.

Properties
As for the calculated density: 16.1 Mg/m³. As for the space group: Fdd2, No. 43. As for the distance to the lowest polymorph of the same formula: 118.1 meV/atom.

Unit cell a=8.651 b=7.907 c=5.471 alpha=78.25 beta=63.49 gamma=38.26
Fractional coordinates of all 10 atoms:
Tl1 0.404 0.500 0.244
Tl2 0.750 0.846 0.398
Tl3 0.006 0.398 0.846
Tl4 0.852 0.244 0.500
Re1 0.274 0.501 0.814
Re2 0.411 0.814 0.501
Re3 0.059 0.941 0.941
Re4 0.749 0.976 0.839
Re5 0.309 0.191 0.191
Re6 0.436 0.839 0.976

***

The following is a PBE-GGA calculation of a relaxed structure of RbNdCd2, from Alexandria via LeMat-Bulk.

Properties
As for the calculated density: 5.4 Mg/m³. As for the space group: P4/mmm, No. 123. As for the distance to the lowest polymorph of the same formula: 0.0 meV/atom.

Unit cell a=3.966 b=3.966 c=8.864 alpha=90.00 beta=90.00 gamma=90.00
Site moments in Bohr magnetons follow the coordinates.
Fractional coordinates of all 4 atoms:
Rb1 0.500 0.500 0.500  0.00
Nd1 0.500 0.500 0.000  0.14
Cd1 0.000 0.000 0.803  0.01
Cd2 0.000 0.000 0.197  0.01